[1]
Here is crystalline Th2SbN at its relaxed geometry from the Alexandria database. Energies are from GGA-PBE.

Structure (POSCAR):
```
Th2SbN
1.0
3.9421 0.0000 0.0000
1.9711 3.4140 0.0000
1.9711 1.1380 7.1149
Th Sb N
2 1 1
direct
0.2295 0.2295 0.3114
0.7705 0.7705 0.6886
0.0000 0.0000 0.0000
0.5000 0.5000 0.5000
```

Summary:
Energy above the most stable polymorph in this dataset ... 38 kJ/mol of formula units
Formation energy from raw total energies ... -1.088 eV per atom

[2]
Here is crystalline Th4Sb2N at its relaxed geometry from the Alexandria database. Energies are from GGA-PBE.

Structure (POSCAR):
```
Th4Sb2N
1.0
-3.5101 -0.1708 3.2692
1.1062 -4.5732 0.9488
6.5579 4.8878 3.7731
Th N Sb
4 1 2
direct
0.0000 0.5000 0.0000
0.8357 0.8357 0.6714
0.1643 0.1643 0.3286
0.5000 0.0000 0.0000
0.0000 0.0000 0.0000
0.3575 0.3575 0.7150
0.6425 0.6425 0.2850
```

Summary:
Energy above the most stable polymorph in this dataset ... 0 kJ/mol of formula units
Formation energy from raw total energies ... -0.890 eV per atom

[3]
Here is crystalline Th4Sb2N at its relaxed geometry from the Alexandria database. Energies are from GGA-PBE.

Structure (POSCAR):
```
Th4Sb2N
1.0
-3.8451 4.1914 5.0022
2.9315 -3.2820 5.0034
6.9520 4.1266 -1.3663
Sb Th N
4 8 2
direct
0.2192 0.2500 0.4301
0.2376 0.2500 0.9361
0.7624 0.7500 0.0639
0.7808 0.7500 0.5699
0.8743 0.2500 0.0822
0.4948 0.9910 0.7417
0.5052 0.0090 0.2583
0.1257 0.7500 0.9178
0.5052 0.4910 0.2583
0.8860 0.2500 0.6112
0.1140 0.7500 0.3888
0.4948 0.5090 0.7417
0.2905 0.7500 0.1953
0.7095 0.2500 0.8047
```

Summary:
Energy above the most stable polymorph in this dataset ... 9 kJ/mol of formula units
Formation energy from raw total energies ... -0.877 eV per atom

[4]
Here is crystalline Th2SbN2 at its relaxed geometry from the Alexandria database. Energies are from GGA-PBE.

Structure (POSCAR):
```
Th2SbN2
1.0
-2.3722 5.8220 -4.1100
-2.4507 0.8894 -7.0440
-0.2795 -3.8339 6.4528
Th Sb N
2 1 2
direct
0.6665 0.6665 0.0000
0.3335 0.3335 0.0000
0.0000 0.0000 0.0000
0.2500 0.7500 0.5000
0.7500 0.2500 0.5000
```

Summary:
Formation energy from raw total energies ... -1.535 eV per atom

[5]
Here is crystalline Th4SbN at its relaxed geometry from the Alexandria database. Energies are from GGA-PBE.

Structure (POSCAR):
```
Th4SbN
1.0
-2.9486 -4.2339 -3.5169
1.8104 -5.1756 4.7064
-5.0283 4.8077 3.9952
Sb Th N
2 8 2
direct
0.8849 0.7501 0.0001
0.1151 0.2499 0.9999
0.7270 0.3406 0.6165
0.6840 0.4635 0.1931
0.4918 0.0377 0.8072
0.2730 0.6594 0.3835
0.1100 0.1597 0.3827
0.8900 0.8403 0.6173
0.5082 0.9623 0.1928
0.3160 0.5365 0.8069
0.5000 0.0000 0.5000
0.0000 0.5000 0.5000
```

Summary:
Formation energy from raw total energies ... -0.645 eV per atom

[6]
Here is crystalline Th2SbN at its relaxed geometry from the Alexandria database. Energies are from GGA-PBE.

Structure (POSCAR):
```
Th2SbN
1.0
4.6709 0.0000 -0.0034
0.0000 4.6709 -0.0034
0.0037 0.0037 9.1316
N Th Sb
2 4 2
direct
0.2499 0.2499 0.4092
0.7501 0.7501 0.5908
0.7500 0.2500 0.5000
0.2500 0.7500 0.5000
0.2497 0.2497 0.1550
0.7503 0.7503 0.8450
0.2503 0.2503 0.7935
0.7497 0.7497 0.2065
```

Summary:
Energy above the most stable polymorph in this dataset ... 0 kJ/mol of formula units
Formation energy from raw total energies ... -1.185 eV per atom